The following is a PBE+U calculation of an optimized crystal structure of Ni2PtPbO6, from Alexandria via LeMat-Bulk.

## Properties
total energy = -5.29 eV per atom
crystal system = trigonal
total magnetic moment = 0.398 μB/atom

Lattice parameters (Å, degrees): 5.326 5.326 5.658 61.93 61.92 60.00
Fractional positions:
1 Ni 0.523 0.523 0.430
2 Ni 0.012 0.012 0.964
3 Pt 0.320 0.320 0.039
4 Pb 0.806 0.806 0.582
5 O 0.603 0.232 0.242
6 O 0.232 0.923 0.241
7 O 0.923 0.603 0.241
8 O 0.385 0.716 0.759
9 O 0.716 0.141 0.759
10 O 0.141 0.385 0.759